# 1
Entry from Alexandria via LeMat-Bulk: a relaxed CrRu2Pb crystal (PBE).

Cell: 8.893 8.893 8.893 Å, 19.14 19.14 19.14°
Fractional positions:
Cr1 0.000 0.000 0.000
Ru1 0.263 0.263 0.263
Ru2 0.737 0.737 0.737
Pb1 0.500 0.500 0.500

formation energy from the elements: 545.0 meV per atom
volume: 16.523 A^3/atom

# 2
Entry from Alexandria via LeMat-Bulk: a relaxed BeAl2Ir crystal (PBE).

Cell: 4.165 4.165 7.655 Å, 90.00 90.00 120.00°
Fractional positions:
Be1 0.000 0.000 0.160
Be2 0.000 0.000 0.840
Al1 0.333 0.667 0.000
Al2 0.333 0.667 0.500
Al3 0.667 0.333 0.321
Al4 0.667 0.333 0.679
Ir1 0.000 0.000 0.500
Ir2 0.667 0.333 0.000

formation energy from the elements: -534.0 meV per atom
volume: 14.374 A^3/atom

# 3
Entry from Alexandria via LeMat-Bulk: a relaxed TaAl2ReTc crystal (PBE).

Cell: 4.460 4.460 4.813 Å, 90.00 90.00 90.00°
Fractional positions:
Ta1 0.000 0.000 0.000
Al1 0.000 0.500 0.500
Al2 0.500 0.000 0.500
Re1 0.500 0.500 0.000
Tc1 0.500 0.500 0.500

formation energy from the elements: 1149.9 meV per atom
volume: 19.150 A^3/atom

# 4
Entry from Alexandria via LeMat-Bulk: a relaxed CeLuIrAu crystal (PBE).

Cell: 4.984 4.984 4.984 Å, 60.00 60.00 60.00°
Fractional positions:
Ce1 0.000 0.000 0.000
Lu1 0.500 0.500 0.500
Ir1 0.250 0.250 0.250
Au1 0.750 0.750 0.750

formation energy from the elements: -734.4 meV per atom
volume: 21.882 A^3/atom

# 5
Entry from Alexandria via LeMat-Bulk: a relaxed TbYCuNi crystal (PBE).

Cell: 4.859 4.859 4.859 Å, 60.00 60.00 60.00°
Fractional positions:
Tb1 0.000 0.000 0.000
Y1 0.500 0.500 0.500
Cu1 0.250 0.250 0.250
Ni1 0.750 0.750 0.750

formation energy from the elements: -306.0 meV per atom
volume: 20.285 A^3/atom
energy relative to the lowest polymorph listed for this composition: 43 meV/atom

# 6
Entry from Alexandria via LeMat-Bulk: a relaxed GdLuTlBi crystal (PBE).

Cell: 5.432 5.432 5.432 Å, 60.00 60.00 60.00°
Fractional positions:
Gd1 0.000 0.000 0.000
Lu1 0.500 0.500 0.500
Tl1 0.750 0.750 0.750
Bi1 0.250 0.250 0.250

formation energy from the elements: -383.8 meV per atom
volume: 28.328 A^3/atom

# 7
Entry from Alexandria via LeMat-Bulk: a relaxed AlMo2As crystal (PBE).

Cell: 9.709 9.709 9.709 Å, 157.49 157.49 32.04°
Fractional positions:
Al1 0.000 0.000 0.000
Al2 0.750 0.250 0.500
Mo1 0.126 0.625 0.001
Mo2 0.375 0.376 0.501
Mo3 0.624 0.125 0.999
Mo4 0.875 0.874 0.499
As1 0.250 0.750 0.500
As2 0.500 0.500 0.000

formation energy from the elements: 247.7 meV per atom
volume: 16.752 A^3/atom
energy relative to the lowest polymorph listed for this composition: 465 meV/atom

# 8
Entry from Alexandria via LeMat-Bulk: a relaxed Tm5CoSn4 crystal (PBE).

Cell: 7.370 7.370 7.370 Å, 98.41 98.41 135.03°
Fractional positions:
Tm1 0.000 0.000 0.000
Tm2 0.281 0.363 0.642
Tm3 0.363 0.721 0.081
Tm4 0.639 0.281 0.919
Tm5 0.721 0.639 0.358
Co1 0.500 0.500 0.000
Sn1 0.040 0.658 0.696
Sn2 0.344 0.040 0.383
Sn3 0.658 0.962 0.617
Sn4 0.962 0.344 0.304

formation energy from the elements: -344.3 meV per atom
volume: 26.141 A^3/atom

# 9
Entry from Alexandria via LeMat-Bulk: a relaxed BeReBr crystal (PBE).

Cell: 6.628 6.628 6.628 Å, 155.22 154.45 35.89°
Fractional positions:
Be1 0.000 0.000 0.000
Re1 0.604 0.604 0.000
Br1 0.795 0.795 0.000

volume: 17.519 A^3/atom
energy relative to the lowest polymorph listed for this composition: 0 meV/atom
raw formation energy: 0.711 eV per atom

# 10
Entry from Alexandria via LeMat-Bulk: a relaxed Ta2TiSnBr crystal (PBE).

Cell: 5.157 5.157 5.138 Å, 90.00 90.00 90.00°
Fractional positions:
Ta1 0.000 0.500 0.000
Ta2 0.500 0.000 0.000
Ti1 0.000 0.000 0.500
Sn1 0.000 0.000 0.000
Br1 0.500 0.500 0.500

volume: 27.327 A^3/atom
raw formation energy: 1.825 eV per atom

# 11
Entry from Alexandria via LeMat-Bulk: a relaxed ZrPPb crystal (PBE).

Cell: 4.750 4.750 4.750 Å, 60.00 60.00 60.00°
Fractional positions:
Zr1 0.000 0.000 0.000
P1 0.750 0.750 0.750
Pb1 0.250 0.250 0.250

formation energy from the elements: 226.9 meV per atom
volume: 25.261 A^3/atom
energy relative to the lowest polymorph listed for this composition: 793 meV/atom

# 12
Entry from Alexandria via LeMat-Bulk: a relaxed HoZrCoAg crystal (PBE).

Cell: 4.812 4.812 4.812 Å, 60.00 60.00 60.00°
Fractional positions:
Ho1 0.000 0.000 0.000
Zr1 0.500 0.500 0.500
Co1 0.250 0.250 0.250
Ag1 0.750 0.750 0.750

formation energy from the elements: -85.1 meV per atom
volume: 19.695 A^3/atom

# 13
Entry from Alexandria via LeMat-Bulk: a relaxed KTiAg2Se4 crystal (PBE).

Cell: 6.596 6.596 6.596 Å, 117.84 112.10 99.02°
Fractional positions:
K1 0.000 0.000 0.000
Ti1 0.500 0.500 0.000
Ag1 0.323 0.823 0.500
Ag2 0.677 0.177 0.500
Se1 0.137 0.148 0.604
Se2 0.457 0.852 0.990
Se3 0.543 0.533 0.396
Se4 0.863 0.467 0.010

volume: 26.864 A^3/atom
raw formation energy: -0.641 eV per atom

# 14
Entry from Alexandria via LeMat-Bulk: a relaxed Pr2Zn3Ru crystal (PBE).

Cell: 5.657 5.657 7.305 Å, 125.94 125.94 45.26°
Fractional positions:
Pr1 0.000 0.000 0.000
Pr2 0.107 0.107 0.610
Zn1 0.374 0.374 0.188
Zn2 0.388 0.388 0.580
Zn3 0.723 0.723 0.385
Ru1 0.694 0.694 0.971

formation energy from the elements: -283.3 meV per atom
volume: 21.364 A^3/atom
energy relative to the lowest polymorph listed for this composition: 0 meV/atom

# 15
Entry from Alexandria via LeMat-Bulk: a relaxed AsHPdPb2 crystal (PBE).

Cell: 5.611 5.611 3.364 Å, 90.00 90.00 90.00°
Fractional positions:
As1 0.000 0.000 0.000
H1 0.500 0.500 0.000
Pd1 0.500 0.500 0.500
Pb1 0.000 0.500 0.500
Pb2 0.500 0.000 0.500

volume: 21.186 A^3/atom
total DFT energy (no corrections): -4.0813 eV/atom

# 16
Entry from Alexandria via LeMat-Bulk: a relaxed UGaH2 crystal (PBE).

Cell: 5.965 5.965 3.991 Å, 90.00 90.00 138.67°
Fractional positions:
U1 0.152 0.848 0.750
U2 0.848 0.152 0.250
Ga1 0.430 0.570 0.750
Ga2 0.570 0.430 0.250
H1 0.052 0.948 0.250
H2 0.252 0.748 0.250
H3 0.748 0.252 0.750
H4 0.948 0.052 0.750

volume: 11.724 A^3/atom
energy relative to the lowest polymorph listed for this composition: 0 meV/atom

# 17
Entry from Alexandria via LeMat-Bulk: a relaxed Ac3Dy13 crystal (PBE).

Cell: 7.401 8.603 8.603 Å, 84.49 90.00 90.00°
Fractional positions:
Ac1 0.000 0.000 0.000
Ac2 0.253 0.743 0.743
Ac3 0.747 0.743 0.743
Dy1 0.000 0.412 0.919
Dy2 0.000 0.490 0.490
Dy3 0.000 0.919 0.412
Dy4 0.251 0.250 0.250
Dy5 0.253 0.171 0.658
Dy6 0.253 0.658 0.171
Dy7 0.500 0.000 0.000
Dy8 0.500 0.403 0.922
Dy9 0.500 0.491 0.491
Dy10 0.500 0.922 0.403
Dy11 0.747 0.171 0.658
Dy12 0.747 0.658 0.171
Dy13 0.749 0.250 0.250

formation energy from the elements: 47.2 meV per atom
volume: 34.079 A^3/atom